# 1
Compound: LiMgInGa2
Source: the Alexandria database
Functional: GGA-PBE
Structure: relaxed

D(E_F)   2.7 states/eV/cell
Calculated total energy   -2.117 eV/atom
DFT formation energy   0.343 eV per atom
Total magnetization   0.00 μB/cell

```
data_LiMgInGa2
_chemical_formula_sum 'Li1 Mg1 In1 Ga2'
_cell_length_a 5.123
_cell_length_b 5.123
_cell_length_c 5.473
_cell_angle_alpha 90.00
_cell_angle_beta 90.00
_cell_angle_gamma 90.00
_symmetry_space_group_name_H-M 'P 4/m m m'
_symmetry_Int_Tables_number 123
_symmetry_space_group_name_Hall '-P 4 2'
loop_
_atom_site_label
_atom_site_type_symbol
_atom_site_fract_x
_atom_site_fract_y
_atom_site_fract_z
Li1 Li 0.000 0.000 0.000
Mg1 Mg 0.500 0.500 0.500
In1 In 0.500 0.500 0.000
Ga1 Ga 0.000 0.500 0.500
```


# 2
Compound: Li2Mg3In3Ga
Source: the Alexandria database
Functional: GGA-PBE
Structure: relaxed

D(E_F)   3.0 states/eV/cell
Calculated total energy   -2.361 eV/atom
DFT formation energy   -0.155 eV per atom
Total magnetization   0.00 μB/cell

```
data_Li2Mg3In3Ga
_chemical_formula_sum 'Li2 Mg3 In3 Ga1'
_cell_length_a 8.1570
_cell_length_b 8.1570
_cell_length_c 3.2870
_cell_angle_alpha 90.00
_cell_angle_beta 90.00
_cell_angle_gamma 120.00
_symmetry_space_group_name_H-M 'P -6 2 m'
_symmetry_Int_Tables_number 189
_symmetry_space_group_name_Hall 'P -6 -2'
loop_
_atom_site_label
_atom_site_type_symbol
_atom_site_fract_x
_atom_site_fract_y
_atom_site_fract_z
Li1 Li 0.3333 0.6667 0.0000
Mg1 Mg 0.0000 0.7169 0.0000
In1 In 0.0000 0.3722 0.5000
Ga1 Ga 0.0000 0.0000 0.5000
```


# 3
Compound: LiMgInGa
Source: the Alexandria database
Functional: GGA-PBE
Structure: relaxed

D(E_F)   10.8 states/eV/cell
Calculated total energy   -2.480 eV/atom
DFT formation energy   -0.162 eV per atom
Energy above the most stable polymorph in this dataset   32 meV/atom
Total magnetization   0.00 μB/cell

```
data_LiMgInGa
_chemical_formula_sum 'Li4 Mg4 In4 Ga4'
_cell_length_a 6.831
_cell_length_b 6.831
_cell_length_c 6.831
_cell_angle_alpha 90.00
_cell_angle_beta 90.00
_cell_angle_gamma 90.00
_symmetry_space_group_name_H-M 'F -4 3 m'
_symmetry_Int_Tables_number 216
_symmetry_space_group_name_Hall 'F -4 2 3'
loop_
_atom_site_label
_atom_site_type_symbol
_atom_site_fract_x
_atom_site_fract_y
_atom_site_fract_z
Li1 Li 0.000 0.000 0.000
Mg1 Mg 0.000 0.000 0.500
In1 In 0.250 0.250 0.250
Ga1 Ga 0.250 0.250 0.750
```


# 4
Compound: LiNdInGa
Source: the Alexandria database
Functional: GGA-PBE
Structure: relaxed

D(E_F)   6.6 states/eV/cell
Calculated total energy   -3.507 eV/atom
DFT formation energy   -0.396 eV per atom
Total magnetization   0.00 μB/cell

```
data_LiNdInGa
_chemical_formula_sum 'Li4 Nd4 In4 Ga4'
_cell_length_a 7.207
_cell_length_b 7.207
_cell_length_c 7.207
_cell_angle_alpha 90.00
_cell_angle_beta 90.00
_cell_angle_gamma 90.00
_symmetry_space_group_name_H-M 'F -4 3 m'
_symmetry_Int_Tables_number 216
_symmetry_space_group_name_Hall 'F -4 2 3'
loop_
_atom_site_label
_atom_site_type_symbol
_atom_site_fract_x
_atom_site_fract_y
_atom_site_fract_z
Li1 Li 0.000 0.000 0.000
Nd1 Nd 0.000 0.000 0.500
In1 In 0.250 0.250 0.750
Ga1 Ga 0.250 0.250 0.250
```


# 5
Compound: LiInGaNi
Source: the Alexandria database
Functional: GGA-PBE
Structure: relaxed

D(E_F)   3.8 states/eV/cell
Calculated total energy   -3.634 eV/atom
DFT formation energy   -0.268 eV per atom
Total magnetization   0.00 μB/cell

```
data_LiInGaNi
_chemical_formula_sum 'Li4 In4 Ga4 Ni4'
_cell_length_a 6.197
_cell_length_b 6.197
_cell_length_c 6.197
_cell_angle_alpha 90.00
_cell_angle_beta 90.00
_cell_angle_gamma 90.00
_symmetry_space_group_name_H-M 'F -4 3 m'
_symmetry_Int_Tables_number 216
_symmetry_space_group_name_Hall 'F -4 2 3'
loop_
_atom_site_label
_atom_site_type_symbol
_atom_site_fract_x
_atom_site_fract_y
_atom_site_fract_z
Li1 Li 0.000 0.000 0.000
In1 In 0.250 0.250 0.250
Ga1 Ga 0.250 0.250 0.750
Ni1 Ni 0.000 0.000 0.500
```


# 6
Compound: Li2InGaO4
Source: the Alexandria database
Functional: GGA-PBE
Structure: relaxed

D(E_F)   0.0 states/eV/cell
Calculated total energy   -5.479 eV/atom
Energy relative to the elements, uncorrected   -1390 kJ/mol of formula units
Total magnetization   0.00 μB/cell

```
data_Li2InGaO4
_chemical_formula_sum 'Li2 In1 Ga1 O4'
_cell_length_a 5.291
_cell_length_b 3.085
_cell_length_c 5.364
_cell_angle_alpha 90.00
_cell_angle_beta 109.90
_cell_angle_gamma 90.00
_symmetry_space_group_name_H-M 'P 1 2/m 1'
_symmetry_Int_Tables_number 10
loop_
_symmetry_equiv_pos_as_xyz
'x,y,z'
'-x,-y,-z'
'-x,y,-z'
'x,-y,z'
loop_
_atom_site_label
_atom_site_type_symbol
_atom_site_fract_x
_atom_site_fract_y
_atom_site_fract_z
Li1 Li 0.000 0.000 0.000
Li2 Li 0.000 0.500 0.500
In1 In 0.500 0.000 0.500
Ga1 Ga 0.500 0.500 0.000
O1 O 0.266 0.500 0.233
O2 O 0.270 0.000 0.771
```


# 7
Compound: Li3In3GaO8
Source: the Alexandria database
Functional: GGA-PBE
Structure: relaxed

D(E_F)   33.1 states/eV/cell
Calculated total energy   -5.370 eV/atom
Energy relative to the elements, uncorrected   -2306 kJ/mol of formula units
Total magnetization   3.38 μB/cell

```
data_Li3In3GaO8
_chemical_formula_sum 'Li9 In9 Ga3 O24'
_cell_length_a 6.3741
_cell_length_b 6.3741
_cell_length_c 14.8440
_cell_angle_alpha 90.00
_cell_angle_beta 90.00
_cell_angle_gamma 120.00
_symmetry_space_group_name_H-M 'R -3 m'
_symmetry_Int_Tables_number 166
_symmetry_space_group_name_Hall '-R 3 2"'
loop_
_atom_site_label
_atom_site_type_symbol
_atom_site_fract_x
_atom_site_fract_y
_atom_site_fract_z
Li1 Li 0.0000 0.5000 0.0000
In1 In 0.0000 0.5000 0.5000
Ga1 Ga 0.0000 0.0000 0.5000
O1 O 0.0000 0.0000 0.2473
O2 O 0.0270 0.5135 0.2418
```


# 8
Compound: Li2In2GaO6
Source: the Alexandria database
Functional: GGA-PBE
Structure: relaxed

D(E_F)   10.7 states/eV/cell
Calculated total energy   -5.366 eV/atom
Energy relative to the elements, uncorrected   -1635 kJ/mol of formula units
Total magnetization   2.07 μB/cell

```
data_Li2In2GaO6
_chemical_formula_sum 'Li4 In4 Ga2 O12'
_cell_length_a 5.448
_cell_length_b 9.735
_cell_length_c 5.172
_cell_angle_alpha 90.00
_cell_angle_beta 106.46
_cell_angle_gamma 90.00
_symmetry_space_group_name_H-M 'C 1 2/m 1'
_symmetry_Int_Tables_number 12
loop_
_symmetry_equiv_pos_as_xyz
'x,y,z'
'-x,-y,-z'
'-x,y,-z'
'x,-y,z'
'x+1/2,y+1/2,z'
'-x+1/2,-y+1/2,-z'
'-x+1/2,y+1/2,-z'
'x+1/2,-y+1/2,z'
loop_
_atom_site_label
_atom_site_type_symbol
_atom_site_fract_x
_atom_site_fract_y
_atom_site_fract_z
Li1 Li 0.000 0.137 0.000
In1 In 0.000 0.339 0.500
Ga1 Ga 0.000 0.000 0.500
O1 O 0.202 0.161 0.721
O2 O 0.242 0.000 0.280
```


# 9
Compound: LiInGaOs
Source: the Alexandria database
Functional: GGA-PBE
Structure: relaxed

D(E_F)   5.4 states/eV/cell
Calculated total energy   -4.745 eV/atom
DFT formation energy   -0.017 eV per atom
Total magnetization   0.00 μB/cell

```
data_LiInGaOs
_chemical_formula_sum 'Li4 In4 Ga4 Os4'
_cell_length_a 6.331
_cell_length_b 6.331
_cell_length_c 6.331
_cell_angle_alpha 90.00
_cell_angle_beta 90.00
_cell_angle_gamma 90.00
_symmetry_space_group_name_H-M 'F -4 3 m'
_symmetry_Int_Tables_number 216
_symmetry_space_group_name_Hall 'F -4 2 3'
loop_
_atom_site_label
_atom_site_type_symbol
_atom_site_fract_x
_atom_site_fract_y
_atom_site_fract_z
Li1 Li 0.000 0.000 0.000
In1 In 0.250 0.250 0.750
Ga1 Ga 0.250 0.250 0.250
Os1 Os 0.000 0.000 0.500
```


# 10
Compound: LiInGaPd
Source: the Alexandria database
Functional: GGA-PBE
Structure: relaxed

D(E_F)   6.7 states/eV/cell
Calculated total energy   -3.677 eV/atom
DFT formation energy   -0.459 eV per atom
Total magnetization   0.00 μB/cell

```
data_LiInGaPd
_chemical_formula_sum 'Li4 In4 Ga4 Pd4'
_cell_length_a 6.423
_cell_length_b 6.423
_cell_length_c 6.423
_cell_angle_alpha 90.00
_cell_angle_beta 90.00
_cell_angle_gamma 90.00
_symmetry_space_group_name_H-M 'F -4 3 m'
_symmetry_Int_Tables_number 216
_symmetry_space_group_name_Hall 'F -4 2 3'
loop_
_atom_site_label
_atom_site_type_symbol
_atom_site_fract_x
_atom_site_fract_y
_atom_site_fract_z
Li1 Li 0.000 0.000 0.000
In1 In 0.250 0.250 0.250
Ga1 Ga 0.250 0.250 0.750
Pd1 Pd 0.000 0.000 0.500
```


# 11
Compound: LiPmInGa
Source: the Alexandria database
Functional: GGA-PBE
Structure: relaxed

D(E_F)   6.0 states/eV/cell
Calculated total energy   -3.508 eV/atom
DFT formation energy   -0.401 eV per atom
Total magnetization   0.00 μB/cell

```
data_LiPmInGa
_chemical_formula_sum 'Li4 Pm4 In4 Ga4'
_cell_length_a 7.170
_cell_length_b 7.170
_cell_length_c 7.170
_cell_angle_alpha 90.00
_cell_angle_beta 90.00
_cell_angle_gamma 90.00
_symmetry_space_group_name_H-M 'F -4 3 m'
_symmetry_Int_Tables_number 216
_symmetry_space_group_name_Hall 'F -4 2 3'
loop_
_atom_site_label
_atom_site_type_symbol
_atom_site_fract_x
_atom_site_fract_y
_atom_site_fract_z
Li1 Li 0.000 0.000 0.000
Pm1 Pm 0.000 0.000 0.500
In1 In 0.250 0.250 0.750
Ga1 Ga 0.250 0.250 0.250
```


# 12
Compound: LiIn2Ga2Pt5
Source: the Alexandria database
Functional: GGA-PBE
Structure: relaxed

D(E_F)   6.0 states/eV/cell
Calculated total energy   -4.762 eV/atom
DFT formation energy   -0.397 eV per atom
Total magnetization   0.00 μB/cell

```
data_LiIn2Ga2Pt5
_chemical_formula_sum 'Li2 In4 Ga4 Pt10'
_cell_length_a 9.344
_cell_length_b 9.344
_cell_length_c 3.861
_cell_angle_alpha 90.00
_cell_angle_beta 90.00
_cell_angle_gamma 90.00
_symmetry_space_group_name_H-M 'P 4/m b m'
_symmetry_Int_Tables_number 127
_symmetry_space_group_name_Hall '-P 4 2ab'
loop_
_atom_site_label
_atom_site_type_symbol
_atom_site_fract_x
_atom_site_fract_y
_atom_site_fract_z
Li1 Li 0.000 0.000 0.000
In1 In 0.172 0.328 0.000
Ga1 Ga 0.129 0.629 0.000
Pt1 Pt 0.000 0.500 0.500
Pt2 Pt 0.076 0.804 0.500
```


# 13
Compound: LiPuInGa
Source: the Alexandria database
Functional: GGA-PBE
Structure: relaxed

D(E_F)   33.5 states/eV/cell
Calculated total energy   -5.669 eV/atom
DFT formation energy   -0.166 eV per atom
Total magnetization   23.55 μB/cell

```
data_LiPuInGa
_chemical_formula_sum 'Li4 Pu4 In4 Ga4'
_cell_length_a 6.944
_cell_length_b 6.944
_cell_length_c 6.944
_cell_angle_alpha 90.00
_cell_angle_beta 90.00
_cell_angle_gamma 90.00
_symmetry_space_group_name_H-M 'F -4 3 m'
_symmetry_Int_Tables_number 216
_symmetry_space_group_name_Hall 'F -4 2 3'
loop_
_atom_site_label
_atom_site_type_symbol
_atom_site_fract_x
_atom_site_fract_y
_atom_site_fract_z
Li1 Li 0.000 0.000 0.000
Pu1 Pu 0.250 0.250 0.750
In1 In 0.250 0.250 0.250
Ga1 Ga 0.000 0.000 0.500
```